# 1
A relaxed structure of MgAg2Se. Source: Alexandria via LeMat-Bulk, functional PBE-GGA.

POSCAR file:
```
MgAg2Se
1.0
3.022 0.000 0.000
0.000 3.022 0.000
0.000 0.000 8.467
Mg Ag Se
1 2 1
Cartesian
0.000 0.000 0.000
1.511 1.511 1.985
1.511 1.511 6.482
0.000 0.000 4.234
```

## Properties
SG: P4/mmm (123)
Excess energy over the best structure of this formula in the dataset in meV/atom: 321
V in Å³/cell: 77

=====

# 2
A relaxed structure of MgAg2Se. Source: Alexandria via LeMat-Bulk, functional PBE-GGA.

POSCAR file:
```
MgAg2Se
1.0
4.245 0.000 0.000
0.000 4.245 0.000
0.000 0.000 8.557
Mg Ag Se
2 4 2
Cartesian
0.000 0.000 0.000
2.122 2.122 4.278
0.000 0.000 4.278
0.000 2.122 2.139
2.122 0.000 6.418
2.122 2.122 0.000
0.000 2.122 6.418
2.122 0.000 2.139
```

## Properties
SG: I-4m2 (119)
Excess energy over the best structure of this formula in the dataset in meV/atom: 173
V in Å³/cell: 154

=====

# 3
A relaxed structure of MgAg2Se. Source: Alexandria via LeMat-Bulk, functional PBE-GGA.

POSCAR file:
```
MgAg2Se
1.0
6.804 0.000 0.000
0.000 6.804 0.000
0.000 0.000 6.804
Mg Ag Se
4 8 4
Cartesian
0.000 0.000 0.000
0.000 3.402 3.402
3.402 0.000 3.402
3.402 3.402 0.000
1.701 1.701 1.701
1.701 1.701 5.103
1.701 5.103 1.701
1.701 5.103 5.103
5.103 1.701 1.701
5.103 1.701 5.103
5.103 5.103 1.701
5.103 5.103 5.103
0.000 0.000 3.402
0.000 3.402 0.000
3.402 0.000 0.000
3.402 3.402 3.402
```

## Properties
SG: Fm-3m (225)
Excess energy over the best structure of this formula in the dataset in meV/atom: 256
V in Å³/cell: 315

=====

# 4
A relaxed structure of MgAg2Se. Source: Alexandria via LeMat-Bulk, functional PBE-GGA.

POSCAR file:
```
MgAg2Se
1.0
3.743 0.000 0.000
0.000 3.743 0.000
0.000 0.000 5.573
Mg Ag Se
1 2 1
Cartesian
0.000 0.000 0.000
1.872 1.872 1.360
1.872 1.872 4.212
0.000 0.000 2.786
```

## Properties
SG: P4/mmm (123)
Excess energy over the best structure of this formula in the dataset in meV/atom: 89
V in Å³/cell: 78

=====

# 5
A relaxed structure of Mg2AgSnSe4. Source: Alexandria via LeMat-Bulk, functional PBE-GGA.

POSCAR file:
```
Mg2AgSnSe4
1.0
6.160 0.000 0.000
0.000 6.160 0.000
0.000 0.000 12.192
Mg Ag Sn Se
4 2 2 8
Cartesian
0.000 3.080 3.048
0.000 3.080 9.144
3.080 0.000 3.048
3.080 0.000 9.144
0.000 0.000 0.000
3.080 3.080 6.096
0.000 0.000 6.096
3.080 3.080 0.000
1.504 1.504 10.586
1.504 4.656 1.607
1.576 1.576 4.489
1.576 4.584 7.703
4.584 1.576 7.703
4.584 4.584 4.489
4.656 1.504 1.607
4.656 4.656 10.586
```

## Properties
Electronic total energy in eV per atom: -3.70
SG: I-42m (121)
V in Å³/cell: 463

=====

# 6
A relaxed structure of MgAg2SnSe4. Source: Alexandria via LeMat-Bulk, functional PBE-GGA.

POSCAR file:
```
MgAg2SnSe4
1.0
8.694 0.000 0.000
0.000 11.914 0.000
-4.346 0.000 4.350
Mg Ag Sn Se
2 4 2 8
Cartesian
0.000 0.000 0.000
4.347 5.957 0.000
-2.173 2.974 2.175
0.000 5.951 0.000
4.347 11.908 0.000
2.174 8.931 2.175
-2.173 8.932 2.175
2.174 2.975 2.175
-2.213 10.427 4.292
-0.061 7.434 2.212
0.062 1.477 2.138
2.214 4.470 0.058
2.134 4.470 4.292
4.286 1.477 2.212
4.409 7.434 2.138
6.561 10.427 0.058
```

## Properties
Electronic total energy in eV per atom: -3.66
SG: C2 (5)
V in Å³/cell: 451

=====

# 7
A relaxed structure of MgAgSnSe4. Source: Alexandria via LeMat-Bulk, functional PBE-GGA.

POSCAR file:
```
MgAgSnSe4
1.0
-4.026 4.054 5.531
4.026 -4.054 5.531
4.026 4.054 -5.531
Mg Ag Sn Se
2 2 2 8
Cartesian
0.000 0.000 0.000
0.000 4.054 0.000
4.026 2.027 1.232
0.000 2.027 4.300
2.013 2.027 -2.766
2.013 -2.027 2.766
4.026 3.942 -2.794
4.026 -0.113 2.794
1.797 2.027 -0.078
2.229 -2.027 5.453
1.797 6.081 0.078
2.229 2.027 5.610
0.000 4.167 2.737
0.000 0.113 8.326
```

## Properties
Electronic total energy in eV per atom: -3.65
SG: Imma (74)
V in Å³/cell: 361

=====

# 8
A relaxed structure of MgTiAg2Se4. Source: Alexandria via LeMat-Bulk, functional PBE-GGA.

POSCAR file:
```
MgTiAg2Se4
1.0
6.053 0.000 0.000
0.000 6.053 0.000
3.025 3.026 5.822
Mg Ti Ag Se
1 1 2 4
Cartesian
0.000 0.000 0.000
3.029 6.056 2.913
3.029 3.029 0.002
6.058 3.028 2.913
1.594 1.367 1.523
4.395 7.491 4.301
4.463 4.689 1.525
7.715 4.622 4.302
```

## Properties
Electronic total energy in eV per atom: -4.35
SG: P1 (1)
V in Å³/cell: 213

=====

# 9
A relaxed structure of MgTlAgSe2. Source: Alexandria via LeMat-Bulk, functional PBE-GGA.

POSCAR file:
```
MgTlAgSe2
1.0
7.371 0.000 0.000
0.000 6.049 0.000
-1.956 0.000 6.343
Mg Tl Ag Se
2 2 2 4
Cartesian
-0.489 0.003 1.586
-1.467 6.046 4.757
3.197 1.678 1.586
2.219 4.371 4.757
0.000 3.024 0.000
-0.978 3.024 3.171
0.616 1.172 3.665
1.594 4.877 0.493
3.821 1.172 5.850
4.799 4.877 2.678
```

## Properties
Electronic total energy in eV per atom: -3.36
SG: P2/c (13)
V in Å³/cell: 283

=====

# 10
A relaxed structure of MgUAgSe4. Source: Alexandria via LeMat-Bulk, functional PBE-GGA.

POSCAR file:
```
MgUAgSe4
1.0
-4.037 4.207 5.535
4.037 -4.207 5.535
4.037 4.207 -5.535
Mg U Ag Se
2 2 2 8
Cartesian
-2.019 2.103 2.767
2.019 2.103 2.767
0.000 0.000 0.000
0.000 4.207 0.000
4.037 2.103 -1.691
0.000 2.103 7.225
1.852 2.103 -0.053
2.186 -2.103 5.482
0.000 0.274 2.723
4.037 0.274 2.812
0.000 3.933 2.723
4.037 3.933 2.812
1.852 6.310 0.053
2.186 2.103 5.587
```

## Properties
Electronic total energy in eV per atom: -5.12
SG: Imma (74)
V in Å³/cell: 376

=====

# 11
A relaxed structure of Mg2UAg3Se6. Source: Alexandria via LeMat-Bulk, functional PBE-GGA.

POSCAR file:
```
Mg2UAg3Se6
1.0
3.488 -5.993 0.000
3.488 5.993 0.000
-1.879 0.000 6.547
Mg U Ag Se
2 1 3 6
Cartesian
3.488 3.911 0.000
3.488 -3.911 0.000
3.488 0.000 0.000
-0.939 0.000 3.274
2.548 1.605 3.274
2.548 -1.605 3.274
0.453 2.016 4.976
1.093 0.000 1.442
0.453 -2.016 4.976
4.643 2.016 1.571
4.004 0.000 5.105
4.643 -2.016 1.571
```

## Properties
Electronic total energy in eV per atom: -4.38
SG: C2/m (12)
V in Å³/cell: 274

=====

# 12
A relaxed structure of Mg2VAgSe. Source: Alexandria via LeMat-Bulk, functional PBE-GGA.

POSCAR file:
```
Mg2VAgSe
1.0
4.963 0.000 0.000
0.000 4.963 0.000
0.000 0.000 5.123
Mg V Ag Se
2 1 1 1
Cartesian
0.000 2.482 0.000
2.482 0.000 0.000
0.000 0.000 2.561
2.482 2.482 0.000
2.482 2.482 2.561
```

## Properties
Electronic total energy in eV per atom: -2.77
SG: P4/mmm (123)
V in Å³/cell: 126

=====

# 13
A relaxed structure of Y2MgAg3Se6. Source: Alexandria via LeMat-Bulk, functional PBE-GGA.

POSCAR file:
```
Y2MgAg3Se6
1.0
9.712 -2.035 0.000
9.712 2.035 0.000
-1.801 0.000 7.396
Y Mg Ag Se
2 1 3 6
Cartesian
2.529 0.000 2.511
15.093 0.000 4.885
9.712 0.000 0.000
1.391 0.000 6.105
8.811 0.000 3.698
16.231 0.000 1.292
-0.320 0.000 1.985
5.404 0.000 2.848
5.286 0.000 6.884
12.337 0.000 0.513
12.219 0.000 4.548
17.943 0.000 5.412
```

## Properties
Electronic total energy in eV per atom: -4.62
SG: C2/m (12)
V in Å³/cell: 292

=====

# 14
A relaxed structure of MgSiAg2. Source: Alexandria via LeMat-Bulk, functional PBE-GGA.

POSCAR file:
```
MgSiAg2
1.0
4.131 0.000 0.000
0.000 4.131 0.000
0.000 0.000 18.277
Mg Si Ag
4 4 8
Cartesian
0.000 0.000 0.000
0.000 2.066 4.569
2.066 0.000 13.708
2.066 2.066 9.139
0.000 0.000 9.139
0.000 2.066 13.708
2.066 0.000 4.569
2.066 2.066 0.000
0.954 1.033 11.423
1.033 3.020 15.993
1.033 3.177 6.854
1.112 1.033 2.285
3.020 3.099 2.285
3.099 0.954 6.854
3.099 1.112 15.993
3.177 3.099 11.423
```

## Properties
SG: I-42d (122)
Excess energy over the best structure of this formula in the dataset in meV/atom: 196
V in Å³/cell: 312

=====

# 15
A relaxed structure of MgSiAg2. Source: Alexandria via LeMat-Bulk, functional PBE-GGA.

POSCAR file:
```
MgSiAg2
1.0
6.520 0.000 0.000
0.000 6.520 0.000
0.000 0.000 6.520
Mg Si Ag
4 4 8
Cartesian
0.000 0.000 0.000
0.000 3.260 3.260
3.260 0.000 3.260
3.260 3.260 0.000
0.000 0.000 3.260
0.000 3.260 0.000
3.260 0.000 0.000
3.260 3.260 3.260
1.630 1.630 1.630
1.630 1.630 4.890
1.630 4.890 1.630
1.630 4.890 4.890
4.890 1.630 1.630
4.890 1.630 4.890
4.890 4.890 1.630
4.890 4.890 4.890
```

## Properties
SG: Fm-3m (225)
Excess energy over the best structure of this formula in the dataset in meV/atom: 46
V in Å³/cell: 277

=====

# 16
A relaxed structure of MgSiAg2. Source: Alexandria via LeMat-Bulk, functional PBE-GGA.

POSCAR file:
```
MgSiAg2
1.0
9.609 0.000 0.000
0.000 3.324 0.000
-1.547 0.000 4.420
Mg Si Ag
2 2 4
Cartesian
0.000 0.000 0.000
4.804 1.662 0.000
1.967 1.662 1.307
6.771 0.000 1.307
1.131 0.000 3.452
3.891 0.000 2.135
5.935 1.662 3.452
8.695 1.662 2.135
```

## Properties
SG: Cm (8)
Excess energy over the best structure of this formula in the dataset in meV/atom: 46
V in Å³/cell: 141

=====

# 17
A relaxed structure of MgSiAg2. Source: Alexandria via LeMat-Bulk, functional PBE-GGA.

POSCAR file:
```
MgSiAg2
1.0
4.196 0.000 0.000
0.000 4.196 0.000
0.000 0.000 7.908
Mg Si Ag
2 2 4
Cartesian
0.000 0.000 0.000
2.098 2.098 3.954
0.000 0.000 3.954
2.098 2.098 0.000
0.000 2.098 1.977
0.000 2.098 5.931
2.098 0.000 1.977
2.098 0.000 5.931
```

## Properties
SG: I4/mmm (139)
Excess energy over the best structure of this formula in the dataset in meV/atom: 14
V in Å³/cell: 139

=====

# 18
A relaxed structure of MgSiAg3. Source: Alexandria via LeMat-Bulk, functional PBE-GGA.

POSCAR file:
```
MgSiAg3
1.0
4.794 0.000 0.000
0.000 4.794 0.000
0.000 0.000 4.794
Mg Si Ag
1 1 3
Cartesian
0.000 0.000 0.000
2.397 2.397 2.397
0.000 2.397 2.397
2.397 0.000 2.397
2.397 2.397 0.000
```

## Properties
SG: Pm-3m (221)
Excess energy over the best structure of this formula in the dataset in meV/atom: 0
V in Å³/cell: 110

=====

# 19
A relaxed structure of MgSiAg2. Source: Alexandria via LeMat-Bulk, functional PBE-GGA.

POSCAR file:
```
MgSiAg2
1.0
9.165 0.000 0.000
0.000 3.201 0.000
-0.980 0.000 4.778
Mg Si Ag
2 2 4
Cartesian
0.000 0.000 0.000
4.582 1.600 0.000
-0.490 1.600 2.389
4.093 0.000 2.389
1.521 0.000 3.559
2.082 1.600 1.219
6.103 1.600 3.559
6.664 0.000 1.219
```

## Properties
SG: C2/m (12)
Excess energy over the best structure of this formula in the dataset in meV/atom: 15
V in Å³/cell: 140

=====

# 20
A relaxed structure of MgSiAg2. Source: Alexandria via LeMat-Bulk, functional PBE-GGA.

POSCAR file:
```
MgSiAg2
1.0
3.960 0.000 0.000
0.000 4.262 0.000
0.000 0.000 8.384
Mg Si Ag
2 2 4
Cartesian
0.000 0.000 0.000
1.980 2.131 0.000
0.000 0.000 4.192
1.980 2.131 4.192
0.000 2.131 2.120
0.000 2.131 6.264
1.980 0.000 2.120
1.980 0.000 6.264
```

## Properties
SG: Cmmm (65)
Excess energy over the best structure of this formula in the dataset in meV/atom: 108
V in Å³/cell: 141

=====

# 21
A relaxed structure of MgSiAg2. Source: Alexandria via LeMat-Bulk, functional PBE-GGA.

POSCAR file:
```
MgSiAg2
1.0
2.989 0.000 0.000
-1.495 2.589 0.000
0.000 0.000 27.336
Mg Si Ag
3 3 6
Cartesian
0.000 0.000 0.000
0.000 1.726 18.224
1.495 0.863 9.112
0.000 0.000 13.668
0.000 1.726 4.556
1.495 0.863 22.780
0.000 0.000 6.754
0.000 0.000 20.581
0.000 1.726 11.469
0.000 1.726 24.978
1.495 0.863 2.357
1.495 0.863 15.866
```

## Properties
SG: R-3m (166)
Excess energy over the best structure of this formula in the dataset in meV/atom: 73
V in Å³/cell: 212

=====

# 22
A relaxed structure of MgSiAg2. Source: Alexandria via LeMat-Bulk, functional PBE-GGA.

POSCAR file:
```
MgSiAg2
1.0
4.099 0.000 0.000
0.000 4.099 0.000
0.000 0.000 8.313
Mg Si Ag
2 2 4
Cartesian
0.000 0.000 0.000
2.050 2.050 4.157
0.000 2.050 6.235
2.050 0.000 2.078
0.000 0.000 4.157
0.000 2.050 2.078
2.050 0.000 6.235
2.050 2.050 0.000
```

## Properties
SG: I-4m2 (119)
Excess energy over the best structure of this formula in the dataset in meV/atom: 22
V in Å³/cell: 140

=====

# 23
A relaxed structure of Mg2Si2Ag. Source: Alexandria via LeMat-Bulk, functional PBE-GGA.

POSCAR file:
```
Mg2Si2Ag
1.0
6.782 0.000 0.000
0.000 6.782 0.000
0.000 0.000 3.990
Mg Si Ag
4 4 2
Cartesian
1.203 2.188 0.000
2.188 5.579 0.000
4.594 1.203 0.000
5.579 4.594 0.000
0.831 4.222 1.995
2.560 0.831 1.995
4.222 5.951 1.995
5.951 2.560 1.995
0.000 0.000 1.995
3.391 3.391 1.995
```

## Properties
SG: P4/mbm (127)
Excess energy over the best structure of this formula in the dataset in meV/atom: 0
V in Å³/cell: 184

=====

# 24
A relaxed structure of MgSiAg2. Source: Alexandria via LeMat-Bulk, functional PBE-GGA.

POSCAR file:
```
MgSiAg2
1.0
6.578 0.000 0.000
0.000 6.578 0.000
0.000 0.000 6.578
Mg Si Ag
4 4 8
Cartesian
0.000 0.000 0.000
0.000 3.289 3.289
3.289 0.000 3.289
3.289 3.289 0.000
1.645 1.645 4.934
1.645 4.934 1.645
4.934 1.645 1.645
4.934 4.934 4.934
0.000 0.000 3.289
0.000 3.289 0.000
1.645 1.645 1.645
1.645 4.934 4.934
3.289 0.000 0.000
3.289 3.289 3.289
4.934 1.645 4.934
4.934 4.934 1.645
```

## Properties
SG: F-43m (216)
Excess energy over the best structure of this formula in the dataset in meV/atom: 89
V in Å³/cell: 285

=====

# 25
A relaxed structure of Mg2Si2Ag. Source: Alexandria via LeMat-Bulk, functional PBE-GGA.

POSCAR file:
```
Mg2Si2Ag
1.0
4.300 0.000 0.000
0.000 4.300 0.000
0.000 0.000 10.970
Mg Si Ag
4 4 2
Cartesian
0.000 2.150 2.742
0.000 2.150 8.227
2.150 0.000 2.742
2.150 0.000 8.227
0.000 0.000 1.125
0.000 0.000 9.845
2.150 2.150 4.360
2.150 2.150 6.610
0.000 0.000 5.485
2.150 2.150 0.000
```

## Properties
SG: I4/mmm (139)
Excess energy over the best structure of this formula in the dataset in meV/atom: 234
V in Å³/cell: 203

=====

# 26
A relaxed structure of MgSiAg2. Source: Alexandria via LeMat-Bulk, functional PBE-GGA.

POSCAR file:
```
MgSiAg2
1.0
5.777 0.000 0.000
0.000 9.558 0.000
-1.429 0.000 2.555
Mg Si Ag
2 2 4
Cartesian
0.000 0.000 0.000
2.888 4.779 0.000
0.000 4.779 0.000
2.888 0.000 0.000
0.730 2.390 1.278
0.730 7.169 1.278
3.618 2.390 1.278
3.618 7.169 1.278
```

## Properties
SG: C2/m (12)
Excess energy over the best structure of this formula in the dataset in meV/atom: 57
V in Å³/cell: 141